# 1
Compound: CuIrCl2
Source: the Alexandria database
Functional: PBE
Structure: relaxed

The structure in extended XYZ format:
```
4
Lattice="-1.570 1.740 7.284 1.570 -1.740 7.284 1.570 1.740 -7.284" Properties=species:S:1:pos:R:3 pbc="T T T"
Cu 0.000 0.000 0.000
Ir 1.570 0.000 2.096
Cl 0.000 0.000 6.334
Cl 0.000 1.740 2.783
```

Output
Space-group type   Imm2, No. 44
Mass density   6.816 g/cm3
Relative energy among the computed polymorphs   0.3576 eV per atom
Raw formation energy   1.56 eV per formula unit
Calculated total energy   -3.772 eV/atom
Density of states at the Fermi level   3.91 states/eV/cell

***

# 2
Compound: CuIrCl2
Source: the Alexandria database
Functional: PBE
Structure: relaxed

The structure in extended XYZ format:
```
4
Lattice="8.089 -1.344 0.000 8.089 1.344 0.000 -1.123 0.000 4.237" Properties=species:S:1:pos:R:3 pbc="T T T"
Cu 0.000 0.000 0.000
Ir 7.528 0.000 2.119
Cl 5.318 0.000 1.541
Cl 9.737 0.000 2.696
```

Output
Space-group type   C2/m, No. 12
Mass density   5.887 g/cm3
Relative energy among the computed polymorphs   0.0071 eV per atom
Raw formation energy   0.16 eV per formula unit
Calculated total energy   -4.122 eV/atom
Density of states at the Fermi level   1.25 states/eV/cell

***

# 3
Compound: Cu2IrCl
Source: the Alexandria database
Functional: PBE
Structure: relaxed

The structure in extended XYZ format:
```
4
Lattice="2.588 -3.927 0.000 2.588 3.927 0.000 0.000 0.000 2.799" Properties=species:S:1:pos:R:3 pbc="T T T"
Cu 1.294 1.963 0.000
Cu 1.294 -1.963 0.000
Ir 0.000 0.000 1.400
Cl 2.588 0.000 1.400
```

Output
Space-group type   Cmmm, No. 65
Mass density   10.354 g/cm3
Relative energy among the computed polymorphs   0.2844 eV per atom
Raw formation energy   1.99 eV per formula unit
Calculated total energy   -4.227 eV/atom
Density of states at the Fermi level   4.51 states/eV/cell

***

# 4
Compound: Cu2IrCl
Source: the Alexandria database
Functional: PBE
Structure: relaxed

The structure in extended XYZ format:
```
4
Lattice="4.580 -1.425 0.000 4.580 1.425 0.000 -1.506 0.000 4.417" Properties=species:S:1:pos:R:3 pbc="T T T"
Cu 1.863 0.000 1.182
Cu 5.791 0.000 3.235
Ir -0.753 0.000 2.209
Cl 4.580 0.000 0.000
```

Output
Space-group type   C2/m, No. 12
Mass density   10.217 g/cm3
Relative energy among the computed polymorphs   0.3920 eV per atom
Raw formation energy   2.42 eV per formula unit
Calculated total energy   -4.119 eV/atom
Density of states at the Fermi level   2.48 states/eV/cell